MgAlZn2: relaxed, PBE.

It has space group Cmcm (No. 63), with a = 4.161 Å, b = 10.026 Å, c = 6.779 Å, α = 90.00°, β = 90.00° and γ = 90.00°. The inequivalent atoms are Mg at (0.000, 0.070, 0.250), Al at (0.000, 0.220, 0.750) and Zn at (0.000, 0.377, 0.057).

Its formation energy is -0.027 eV per atom. The total energy is -1.998 eV/atom.